First-principles (PBE-GGA) data for a relaxed SbAsPt crystal, as listed in Alexandria.

```
SbAsPt
1.0
4.5277 0.0000 0.0000
2.2639 3.9211 0.0000
2.2639 1.3070 3.6969
As Sb Pt
1 1 1
Direct
0.5000 0.5000 0.5000
0.0000 0.0000 0.0000
0.2500 0.2500 0.2500
```

Calculated values
The electronic total energy comes out at -5.209 eV/atom.

***

First-principles (PBE-GGA) data for a relaxed SbAsPt crystal, as listed in Alexandria.

```
SbAsPt
1.0
6.3138 0.0000 0.0000
0.0000 6.5076 0.1708
0.0000 -1.6391 6.2963
Pt Sb As
4 4 4
Direct
0.9905 0.7459 0.7385
0.0095 0.2541 0.2615
0.4905 0.7541 0.2615
0.5095 0.2459 0.7385
0.3773 0.6490 0.8507
0.6227 0.3510 0.1493
0.1227 0.1490 0.8507
0.8773 0.8510 0.1493
0.6284 0.8605 0.6396
0.8716 0.3605 0.6396
0.3716 0.1395 0.3604
0.1284 0.6395 0.3604
```

Calculated values
The electronic total energy comes out at -5.410 eV/atom.